BaCd2Pd after structural relaxation. Source: Alexandria via LeMat-Bulk, functional GGA-PBE.

Results
Crystal system = tetragonal
Formation energy from the elements = -0.270 eV per atom

Structure (CIF):
```
data_BaCd2Pd
_chemical_formula_sum 'Ba1 Cd2 Pd1'
_symmetry_space_group_name_H-M 'P 4/m m m'
_symmetry_Int_Tables_number 123
_symmetry_space_group_name_Hall '-P 4 2'
_cell_length_a 3.6400
_cell_length_b 3.6400
_cell_length_c 7.7985
_cell_angle_alpha 90.00
_cell_angle_beta 90.00
_cell_angle_gamma 90.00
loop_
_atom_site_label
_atom_site_type_symbol
_atom_site_fract_x
_atom_site_fract_y
_atom_site_fract_z
Ba1 Ba 0.0000 0.0000 0.0000
Cd1 Cd 0.5000 0.5000 0.3176
Pd1 Pd 0.0000 0.0000 0.5000
```

=====

Pr8Ga2Sn after structural relaxation. Source: Alexandria via LeMat-Bulk, functional GGA-PBE.

Results
Crystal system = monoclinic
Formation energy from the elements = -0.330 eV per atom

Structure (CIF):
```
data_Pr8Ga2Sn
_chemical_formula_sum 'Pr16 Ga4 Sn2'
_symmetry_space_group_name_H-M 'C 1 2/m 1'
_symmetry_Int_Tables_number 12
_symmetry_space_group_name_Hall '-C 2y'
_cell_length_a 17.6647
_cell_length_b 5.0140
_cell_length_c 8.1700
_cell_angle_alpha 90.00
_cell_angle_beta 111.27
_cell_angle_gamma 90.00
loop_
_atom_site_label
_atom_site_type_symbol
_atom_site_fract_x
_atom_site_fract_y
_atom_site_fract_z
Pr1 Pr 0.0492 0.0000 0.2420
Pr2 Pr 0.1011 0.5000 0.9533
Pr3 Pr 0.1673 0.0000 0.7521
Pr4 Pr 0.1757 0.5000 0.4421
Ga1 Ga 0.2130 0.0000 0.1681
Sn1 Sn 0.0000 0.5000 0.5000
```

=====

RbInHCl2 after structural relaxation. Source: Alexandria via LeMat-Bulk, functional GGA-PBE.

Results
Crystal system = tetragonal

Structure (CIF):
```
data_RbInHCl2
_chemical_formula_sum 'Rb1 In1 H1 Cl2'
_symmetry_space_group_name_H-M 'P 4/m m m'
_symmetry_Int_Tables_number 123
_symmetry_space_group_name_Hall '-P 4 2'
_cell_length_a 5.7319
_cell_length_b 5.7319
_cell_length_c 4.0039
_cell_angle_alpha 90.00
_cell_angle_beta 90.00
_cell_angle_gamma 90.00
loop_
_atom_site_label
_atom_site_type_symbol
_atom_site_fract_x
_atom_site_fract_y
_atom_site_fract_z
Rb1 Rb 0.0000 0.0000 0.0000
In1 In 0.5000 0.5000 0.5000
H1 H 0.5000 0.5000 0.0000
Cl1 Cl 0.0000 0.5000 0.5000
```

=====

Ce6Te5I after structural relaxation. Source: Alexandria via LeMat-Bulk, functional GGA-PBE.

Results
Crystal system = monoclinic

Structure (CIF):
```
data_Ce6Te5I
_chemical_formula_sum 'Ce12 Te10 I2'
_symmetry_space_group_name_H-M 'C 1 2/m 1'
_symmetry_Int_Tables_number 12
_symmetry_space_group_name_Hall '-C 2y'
_cell_length_a 7.8248
_cell_length_b 13.5924
_cell_length_c 7.6798
_cell_angle_alpha 90.00
_cell_angle_beta 109.99
_cell_angle_gamma 90.00
loop_
_atom_site_label
_atom_site_type_symbol
_atom_site_fract_x
_atom_site_fract_y
_atom_site_fract_z
Ce1 Ce 0.2434 0.0000 0.2509
Ce2 Ce 0.2449 0.1698 0.7452
Te1 Te 0.0000 0.0000 0.5000
Te2 Te 0.0000 0.1676 0.0000
Te3 Te 0.0000 0.3363 0.5000
I1 I 0.0000 0.5000 0.0000
```

=====

Mg2CrRhAu after structural relaxation. Source: Alexandria via LeMat-Bulk, functional GGA-PBE.

Results
Crystal system = tetragonal
Formation energy from the elements = 0.494 eV per atom

Structure (CIF):
```
data_Mg2CrRhAu
_chemical_formula_sum 'Mg2 Cr1 Rh1 Au1'
_symmetry_space_group_name_H-M 'P 4/m m m'
_symmetry_Int_Tables_number 123
_symmetry_space_group_name_Hall '-P 4 2'
_cell_length_a 4.7527
_cell_length_b 4.7527
_cell_length_c 5.1461
_cell_angle_alpha 90.00
_cell_angle_beta 90.00
_cell_angle_gamma 90.00
loop_
_atom_site_label
_atom_site_type_symbol
_atom_site_fract_x
_atom_site_fract_y
_atom_site_fract_z
Mg1 Mg 0.0000 0.5000 0.0000
Cr1 Cr 0.0000 0.0000 0.5000
Rh1 Rh 0.5000 0.5000 0.0000
Au1 Au 0.5000 0.5000 0.5000
```

=====

Ca3TmMg4 after structural relaxation. Source: Alexandria via LeMat-Bulk, functional GGA-PBE.

Results
Crystal system = tetragonal
Formation energy from the elements = -0.069 eV per atom

Structure (CIF):
```
data_Ca3TmMg4
_chemical_formula_sum 'Ca3 Tm1 Mg4'
_symmetry_space_group_name_H-M 'P 4/m m m'
_symmetry_Int_Tables_number 123
_symmetry_space_group_name_Hall '-P 4 2'
_cell_length_a 3.8372
_cell_length_b 3.8372
_cell_length_c 16.2430
_cell_angle_alpha 90.00
_cell_angle_beta 90.00
_cell_angle_gamma 90.00
loop_
_atom_site_label
_atom_site_type_symbol
_atom_site_fract_x
_atom_site_fract_y
_atom_site_fract_z
Ca1 Ca 0.0000 0.0000 0.0000
Ca2 Ca 0.0000 0.0000 0.2597
Tm1 Tm 0.0000 0.0000 0.5000
Mg1 Mg 0.5000 0.5000 0.1303
Mg2 Mg 0.5000 0.5000 0.3873
```

=====

Pm6Dy12Pb after structural relaxation. Source: Alexandria via LeMat-Bulk, functional GGA-PBE.

Results
Crystal system = trigonal
Formation energy from the elements = 0.077 eV per atom

Structure (CIF):
```
data_Pm6Dy12Pb
_chemical_formula_sum 'Pm18 Dy36 Pb3'
_symmetry_space_group_name_H-M 'R -3 m'
_symmetry_Int_Tables_number 166
_symmetry_space_group_name_Hall '-R 3 2"'
_cell_length_a 13.0146
_cell_length_b 13.0146
_cell_length_c 12.9054
_cell_angle_alpha 90.00
_cell_angle_beta 90.00
_cell_angle_gamma 120.00
loop_
_atom_site_label
_atom_site_type_symbol
_atom_site_fract_x
_atom_site_fract_y
_atom_site_fract_z
Pm1 Pm 0.0916 0.1832 0.2741
Dy1 Dy 0.0000 0.2594 0.5000
Dy2 Dy 0.0570 0.5285 0.6132
Pb1 Pb 0.0000 0.0000 0.5000
```

=====

RbNa2AuS2 after structural relaxation. Source: Alexandria via LeMat-Bulk, functional GGA-PBE.

Results
Crystal system = orthorhombic

Structure (CIF):
```
data_RbNa2AuS2
_chemical_formula_sum 'Rb2 Na4 Au2 S4'
_symmetry_space_group_name_H-M 'P n n m'
_symmetry_Int_Tables_number 58
_symmetry_space_group_name_Hall '-P 2 2n'
_cell_length_a 7.0415
_cell_length_b 10.5745
_cell_length_c 4.7933
_cell_angle_alpha 90.00
_cell_angle_beta 90.00
_cell_angle_gamma 90.00
loop_
_atom_site_label
_atom_site_type_symbol
_atom_site_fract_x
_atom_site_fract_y
_atom_site_fract_z
Rb1 Rb 0.0000 0.0000 0.0000
Na1 Na 0.0566 0.2924 0.5000
Au1 Au 0.0000 0.5000 0.0000
S1 S 0.2289 0.3414 0.0000
```

=====

Number 1: magnetization 0.00 μB per atom, total energy -2.507 eV/atom. Number 2: magnetization 0.00 μB per atom, total energy -4.721 eV/atom. Number 3: magnetization 0.00 μB per atom, total energy -3.158 eV/atom. Number 4: magnetization 0.57 μB per atom, total energy -5.667 eV/atom. Number 5: magnetization 0.96 μB per atom, total energy -4.195 eV/atom. Number 6: magnetization 0.00 μB per atom, total energy -2.176 eV/atom. Number 7: magnetization 0.00 μB per atom, total energy -4.525 eV/atom. Number 8: magnetization 0.00 μB per atom, total energy -3.421 eV/atom.